A relaxed ScCoSiOs crystal. Source: OQMD via LeMat-Bulk, functional PBE.

Output
- Spin magnetization: 2.72 μB per formula unit
- Mass density: 9.19 g cm⁻³
- Polymorph energy (0 for the lowest one): 541.1 meV per atom
- V: 58.2 Å³/cell
- SG: F-43m

Lattice parameters (Å, degrees): 4.350 4.350 4.350 60.00 60.00 60.00
Each line ends with the local moment (μB).
Positions (direct):
Os  0.500  0.500  0.500  0.78
Co  0.750  0.750  0.750  1.75
Si  0.000  0.000  0.000  0.02
Sc  0.250  0.250  0.250  0.13